Model 1:
VASP calculation (PBE) on a geometry-optimized Ag3Pd4Pb structure.

Unit cell a=5.6039 b=9.4871 c=5.4572 alpha=90.00 beta=90.00 gamma=90.00
Space group Imm2 (No. 44)
Symmetry-distinct sites (fractional):
Ag 0.0000 0.0000 0.0000 (multiplicity 2)
Ag 0.0000 0.2506 0.2419 (multiplicity 4)
Pd 0.0000 0.2434 0.7420 (multiplicity 4)
Pd 0.2463 0.0000 0.5116 (multiplicity 4)
Pb 0.0000 0.5000 0.5354 (multiplicity 2)

Values from the calculation:
- size of the total moment (μB/f.u.) = 0.0

Model 2:
VASP calculation (PBE) on a geometry-optimized Ag3Pd4Pb structure.

Unit cell a=9.4840 b=6.0388 c=4.8336 alpha=90.00 beta=90.00 gamma=90.00
Space group Pmma (No. 51)
Symmetry-distinct sites (fractional):
Ag 0.0000 0.0000 0.0000 (multiplicity 2)
Ag 0.2500 0.0000 0.3967 (multiplicity 2)
Ag 0.2500 0.5000 0.4114 (multiplicity 2)
Pd 0.0000 0.2473 0.5000 (multiplicity 4)
Pd 0.2500 0.2480 0.8962 (multiplicity 4)
Pb 0.0000 0.5000 0.0000 (multiplicity 2)

Values from the calculation:
- size of the total moment (μB/f.u.) = 0.0

model 2 is preferred energetically. Next in line: 175 meV/atom higher.

Model 1:
VASP calculation (PBE) on a geometry-optimized Ag2Pd8Pb structure.

Unit cell a=3.9768 b=8.2723 c=11.7285 alpha=90.00 beta=90.00 gamma=90.00
Space group Immm (No. 71)
Symmetry-distinct sites (fractional):
Ag 0.0000 0.0000 0.1501 (multiplicity 4)
Pd 0.0000 0.2471 0.3317 (multiplicity 8)
Pd 0.0000 0.2569 0.0000 (multiplicity 4)
Pd 0.0000 0.5000 0.1773 (multiplicity 4)
Pb 0.0000 0.0000 0.5000 (multiplicity 2)

Values from the calculation:
- size of the total moment (μB/f.u.) = 0.0

Model 2:
VASP calculation (PBE) on a geometry-optimized Ag2Pd8Pb structure.

Unit cell a=7.3703 b=14.1461 c=4.9506 alpha=90.00 beta=131.43 gamma=90.00
Space group C2/m (No. 12)
Symmetry-distinct sites (fractional):
Ag 0.0000 0.1833 0.0000 (multiplicity 4)
Pd 0.0000 0.3094 0.5000 (multiplicity 4)
Pd 0.0292 0.0000 0.2773 (multiplicity 4)
Pd 0.2435 0.3601 0.2345 (multiplicity 8)
Pb 0.0000 0.5000 0.5000 (multiplicity 2)

Values from the calculation:
- size of the total moment (μB/f.u.) = 0.0

model 1 is preferred energetically. Next in line: 33 meV/atom higher.